[1]
4
Lattice="3.477 0.000 0.000 0.000 4.375 0.000 0.000 0.000 6.097" Properties=species:S:1:pos:R:3 comment="Y2TcAg (PBE-GGA, relaxed)" formation_enthalpy_0k_ev_per_atom=0.183 space_group=Pmm2 dos_ef_per_ev_cell=3.2 pbc="T T T"
Y 0.000 0.000 0.000
Y 1.738 2.188 2.194
Tc 1.738 2.188 5.269
Ag 0.000 0.000 3.274

[2]
13
Lattice="0.000 6.651 6.651 6.651 0.000 6.651 6.651 6.651 0.000" Properties=species:S:1:pos:R:3 comment="RbPb4Br8 (PBE-GGA, relaxed)" space_group=F-43m e_form_raw_mev_per_atom=-926 dos_ef_per_ev_cell=5.3 pbc="T T T"
Rb 0.000 0.000 0.000
Pb 8.270 5.032 5.032
Pb 5.032 8.270 5.032
Pb 5.032 5.032 8.270
Pb 8.270 8.270 8.270
Br 5.185 5.185 5.185
Br 8.116 8.116 5.185
Br 8.116 5.185 8.116
Br 11.395 8.557 8.557
Br 5.185 8.116 8.116
Br 8.557 11.395 8.557
Br 8.557 8.557 11.395
Br 11.395 11.395 11.395

[3]
10
Lattice="-4.046 4.046 5.754 4.046 -4.046 5.754 4.046 4.046 -5.754" Properties=species:S:1:pos:R:3 comment="Rb2AsPbBr6 (PBE-GGA, relaxed)" space_group=I4/mmm e_form_raw_mev_per_atom=-979 dos_ef_per_ev_cell=5.0 pbc="T T T"
Rb 4.046 0.000 2.877
Rb 0.000 4.046 2.877
As 0.000 0.000 0.000
Pb 0.000 0.000 5.754
Br 1.934 1.934 0.000
Br 2.112 -2.112 5.754
Br 0.000 0.000 2.759
Br 0.000 0.000 8.749
Br -2.112 2.112 5.754
Br 2.112 2.112 5.754

[4]
10
Lattice="2.688 1.552 4.849 -2.688 1.552 4.849 0.000 -3.104 4.849" Properties=species:S:1:pos:R:3 comment="Li2ZrBiO6 (PBE-GGA, relaxed)" space_group=R3 e_form_raw_mev_per_atom=-1779 dos_ef_per_ev_cell=7.9 pbc="T T T"
Li 0.000 0.000 0.000
Li 0.000 0.000 7.219
Zr 0.000 0.000 3.161
Bi 0.000 0.000 10.360
O -0.863 -1.706 6.585
O -1.674 0.042 9.002
O -1.046 1.600 6.585
O 0.800 -1.470 9.002
O 1.908 0.106 6.585
O 0.873 1.428 9.003

[5]
11
Lattice="4.053 -7.719 0.000 4.053 7.719 0.000 -3.413 0.000 4.010" Properties=species:S:1:pos:R:3 comment="Pm2PrAg8 (PBE-GGA, relaxed)" formation_enthalpy_0k_ev_per_atom=-0.218 space_group=C2/m dos_ef_per_ev_cell=5.5 pbc="T T T"
Pm 4.053 4.868 0.000
Pm 4.053 -4.868 0.000
Pr 2.347 0.000 2.005
Ag -0.858 0.000 1.009
Ag 5.551 0.000 3.001
Ag -0.421 2.005 3.098
Ag 2.347 3.131 2.005
Ag -0.421 -2.005 3.098
Ag 5.115 2.005 0.912
Ag 2.347 -3.131 2.005
Ag 5.115 -2.005 0.912

[6]
12
Lattice="7.649 -2.814 0.000 7.649 2.814 0.000 -6.994 0.000 9.294" Properties=species:S:1:pos:R:3 comment="CePm7Pb4 (PBE-GGA, relaxed)" formation_enthalpy_0k_ev_per_atom=-0.137 space_group=C2/m dos_ef_per_ev_cell=15.8 pbc="T T T"
Ce 0.000 0.000 0.000
Pm -1.136 0.000 3.074
Pm -2.800 0.000 8.086
Pm 2.403 0.000 3.955
Pm 7.649 0.000 0.000
Pm 5.901 0.000 5.340
Pm 11.104 0.000 1.209
Pm 9.440 0.000 6.221
Pb -0.193 0.000 6.182
Pb 4.929 0.000 2.033
Pb 3.375 0.000 7.262
Pb 8.496 0.000 3.112

[7]
7
Lattice="-1.872 2.029 8.917 1.872 -2.029 8.917 1.872 2.029 -8.917" Properties=species:S:1:pos:R:3 comment="HfNb4Ga2 (PBE-GGA, relaxed)" formation_enthalpy_0k_ev_per_atom=0.022 space_group=Immm dos_ef_per_ev_cell=6.7 pbc="T T T"
Hf 0.000 0.000 0.000
Nb 1.872 0.000 2.165
Nb 0.000 0.000 4.373
Nb 0.000 0.000 13.461
Nb 0.000 2.029 6.752
Ga 1.872 0.000 6.646
Ga 0.000 2.029 2.271

[8]
5
Lattice="3.828 0.000 0.000 0.000 3.828 0.000 0.000 0.000 4.086" Properties=species:S:1:pos:R:3 comment="CuRhOF2 (PBE-GGA, relaxed)" space_group=P4/mmm e_form_raw_mev_per_atom=-343 dos_ef_per_ev_cell=6.1 pbc="T T T"
Cu 0.000 0.000 0.000
Rh 1.914 1.914 2.043
O 0.000 0.000 2.043
F 0.000 1.914 0.000
F 1.914 0.000 0.000

[9]
5
Lattice="3.904 0.000 0.000 0.000 3.904 0.000 0.000 0.000 5.782" Properties=species:S:1:pos:R:3 comment="TeHPdN2 (PBE-GGA, relaxed)" space_group=P4/mmm dft_energy_ev_per_atom=-3.97 dos_ef_per_ev_cell=1.8 pbc="T T T"
Te 0.000 0.000 0.000
H 1.952 1.952 0.000
Pd 0.000 0.000 2.891
N 0.000 1.952 2.891
N 1.952 0.000 2.891

[10]
15
Lattice="6.937 -1.716 0.000 6.937 1.716 0.000 -1.528 0.000 8.365" Properties=species:S:1:pos:R:3 comment="Tm2O3 (PBE-GGA, relaxed)" space_group=C2/m e_form_raw_mev_per_atom=-3624 dos_ef_per_ev_cell=0.0 pbc="T T T"
Tm -0.033 0.000 2.627
Tm 3.727 0.000 3.035
Tm 5.043 0.000 0.107
Tm 7.304 0.000 8.258
Tm 8.619 0.000 5.330
Tm 12.379 0.000 5.737
O 0.572 0.000 6.533
O 1.705 0.000 3.921
O 2.689 0.000 1.023
O 5.231 0.000 7.050
O 6.173 0.000 4.182
O 7.115 0.000 1.315
O 9.657 0.000 7.341
O 10.641 0.000 4.444
O 11.774 0.000 1.831

[11]
15
Lattice="3.755 2.168 7.479 -3.755 2.168 7.479 0.000 -4.336 7.479" Properties=species:S:1:pos:R:3 comment="K3Sc3GeS8 (PBE-GGA, relaxed)" space_group=R-3m e_form_raw_mev_per_atom=-1429 dos_ef_per_ev_cell=1.4 pbc="T T T"
K -1.877 -1.084 7.479
K -1.877 1.084 14.958
K 0.000 2.168 7.479
Sc -3.755 0.000 11.219
Sc -1.877 1.084 3.740
Sc 1.877 1.084 3.740
Ge 0.000 0.000 11.219
S 0.000 0.000 5.164
S -1.789 -1.033 12.597
S 0.000 -2.066 9.841
S -1.789 1.033 9.841
S 1.789 -1.033 12.597
S 0.000 2.066 12.597
S 1.789 1.033 9.841
S 0.000 0.000 17.273

[12]
4
Lattice="4.161 0.000 0.000 0.000 4.161 0.000 0.000 0.000 5.487" Properties=species:S:1:pos:R:3 comment="TaTl2Se (PBE-GGA, relaxed)" space_group=P4/mmm e_form_raw_mev_per_atom=577 dos_ef_per_ev_cell=1.7 pbc="T T T"
Ta 0.000 0.000 0.000
Tl 2.081 2.081 1.361
Tl 2.081 2.081 4.127
Se 0.000 0.000 2.744

[13]
5
Lattice="5.147 0.000 0.000 0.000 5.147 0.000 0.000 0.000 5.310" Properties=species:S:1:pos:R:3 comment="TaSb2TeAs (PBE-GGA, relaxed)" space_group=P4/mmm e_form_raw_mev_per_atom=1278 dos_ef_per_ev_cell=5.9 pbc="T T T"
Ta 0.000 0.000 0.000
Sb 0.000 2.573 2.655
Sb 2.573 0.000 2.655
Te 2.573 2.573 0.000
As 2.573 2.573 2.655

[14]
15
Lattice="4.837 2.793 6.496 -4.837 2.793 6.496 0.000 -5.586 6.496" Properties=species:S:1:pos:R:3 comment="Ba6PaSe8 (PBE-GGA, relaxed)" space_group=R-3 e_form_raw_mev_per_atom=-1856 dos_ef_per_ev_cell=1.5 pbc="T T T"
Ba -2.055 -3.211 8.165
Ba -3.809 0.174 11.323
Ba -1.753 3.386 8.165
Ba 1.753 -3.386 11.323
Ba 3.809 -0.174 8.165
Ba 2.055 3.211 11.323
Pa 0.000 0.000 9.744
Se 0.000 0.000 3.106
Se -2.385 0.094 8.113
Se -1.274 -2.018 11.375
Se 1.111 -2.112 8.113
Se -1.111 2.112 11.375
Se 1.274 2.018 8.113
Se 2.385 -0.094 11.375
Se 0.000 0.000 16.381

[15]
9
Lattice="3.162 -9.075 0.000 3.162 9.075 0.000 -2.764 0.000 5.321" Properties=species:S:1:pos:R:3 comment="La6Er2In (PBE-GGA, relaxed)" formation_enthalpy_0k_ev_per_atom=-0.039 space_group=C2/m dos_ef_per_ev_cell=13.2 pbc="T T T"
La 0.251 2.882 1.814
La -1.101 0.000 4.505
La 0.251 -2.882 1.814
La 3.308 2.882 3.507
La 4.660 0.000 0.816
La 3.308 -2.882 3.507
Er 3.162 3.197 0.000
Er 3.162 -3.197 0.000
In 1.780 0.000 2.660

[16]
19
Lattice="8.672 5.007 7.263 -8.672 5.007 7.263 0.000 -10.014 7.263" Properties=species:S:1:pos:R:3 comment="Cs12K6Ag (PBE-GGA, relaxed)" formation_enthalpy_0k_ev_per_atom=0.049 space_group=R-3 dos_ef_per_ev_cell=19.1 pbc="T T T"
Cs -0.100 -6.948 5.231
Cs -5.968 3.561 5.231
Cs -4.244 -2.346 9.859
Cs -6.068 -3.388 16.557
Cs -0.091 -4.849 11.929
Cs -4.154 2.503 11.929
Cs 4.154 -2.503 9.859
Cs 0.091 4.849 9.859
Cs 6.068 3.388 5.231
Cs 4.244 2.346 11.929
Cs 5.968 -3.561 16.557
Cs 0.100 6.948 16.557
K -2.312 1.333 7.219
K 0.002 -2.669 7.219
K -2.310 -1.336 14.569
K 2.310 1.336 7.219
K -0.002 2.669 14.569
K 2.312 -1.333 14.569
Ag 0.000 0.000 0.000

[17]
5
Lattice="3.921 0.000 0.000 0.000 3.921 0.000 0.000 0.000 5.668" Properties=species:S:1:pos:R:3 comment="LiTeMoN2 (PBE-GGA, relaxed)" space_group=P4/mmm e_form_raw_mev_per_atom=149 dos_ef_per_ev_cell=3.3 pbc="T T T"
Li 0.000 0.000 0.000
Te 1.960 1.960 0.000
Mo 1.960 1.960 2.834
N 0.000 1.960 2.834
N 1.960 0.000 2.834

[18]
24
Lattice="11.730 0.000 0.000 0.000 3.930 0.000 0.000 0.000 10.297" Properties=species:S:1:pos:R:3 comment="Pa3Si2Ni (PBE-GGA, relaxed)" space_group=Pnma e_form_raw_mev_per_atom=-517 dos_ef_per_ev_cell=38.3 pbc="T T T"
Pa 0.493 0.982 0.989
Pa 1.499 2.947 5.902
Pa 2.564 0.982 7.826
Pa 3.301 2.947 2.677
Pa 4.366 0.982 0.754
Pa 5.372 2.947 6.137
Pa 6.358 0.982 4.159
Pa 7.364 2.947 9.543
Pa 8.429 0.982 7.619
Pa 9.166 2.947 2.471
Pa 10.231 0.982 4.395
Pa 11.237 2.947 9.308
Si 0.316 2.947 3.129
Si 2.348 2.947 10.111
Si 3.517 0.982 4.963
Si 5.549 0.982 8.277
Si 6.181 2.947 2.020
Si 8.213 2.947 5.334
Si 9.382 0.982 0.186
Si 11.414 0.982 7.168
Ni 1.467 0.982 3.762
Ni 4.398 2.947 8.910
Ni 7.332 0.982 1.386
Ni 10.263 2.947 6.535

[19]
16
Lattice="6.468 0.000 0.000 0.000 12.079 0.000 0.000 0.000 4.996" Properties=species:S:1:pos:R:3 comment="Dy5Zn2Tc (PBE-GGA, relaxed)" formation_enthalpy_0k_ev_per_atom=-0.177 space_group=Pbam dos_ef_per_ev_cell=15.1 pbc="T T T"
Dy 0.000 0.000 0.000
Dy 0.912 3.446 0.000
Dy 1.046 7.296 2.498
Dy 2.188 1.257 2.498
Dy 2.322 9.485 0.000
Dy 3.234 6.039 0.000
Dy 4.146 2.594 0.000
Dy 4.280 10.822 2.498
Dy 5.422 4.782 2.498
Dy 5.556 8.633 0.000
Zn 0.820 10.410 2.498
Zn 2.414 4.371 2.498
Zn 4.054 7.708 2.498
Zn 5.648 1.668 2.498
Tc 0.000 6.039 0.000
Tc 3.234 0.000 0.000

[20]
10
Lattice="3.750 -6.853 0.000 3.750 6.853 0.000 0.000 0.000 4.607" Properties=species:S:1:pos:R:3 comment="PrBi2Pd7 (PBE-GGA, relaxed)" formation_enthalpy_0k_ev_per_atom=-0.147 space_group=Cmmm dos_ef_per_ev_cell=4.5 pbc="T T T"
Pr 0.000 0.000 0.000
Bi 3.750 2.703 2.303
Bi 3.750 -2.703 2.303
Pd 1.350 1.458 2.303
Pd 3.750 4.042 0.000
Pd 1.350 -1.458 2.303
Pd 3.750 0.000 2.303
Pd 6.150 1.458 2.303
Pd 3.750 -4.042 0.000
Pd 6.150 -1.458 2.303

[21]
6
Lattice="2.377 -5.419 0.000 2.377 5.419 0.000 0.000 0.000 6.458" Properties=species:S:1:pos:R:3 comment="NaInC (PBE-GGA, relaxed)" formation_enthalpy_0k_ev_per_atom=0.966 space_group=Cmcm dos_ef_per_ev_cell=0.1 pbc="T T T"
Na 2.377 3.315 4.843
Na 2.377 -3.315 1.614
In 2.377 0.000 0.000
In 2.377 0.000 3.229
C 2.377 1.317 1.614
C 2.377 -1.317 4.843

[22]
6
Lattice="0.000 3.789 3.789 3.789 0.000 3.789 3.789 3.789 0.000" Properties=species:S:1:pos:R:3 comment="AcLaFe4 (PBE-GGA, relaxed)" formation_enthalpy_0k_ev_per_atom=0.184 space_group=F-43m dos_ef_per_ev_cell=6.0 pbc="T T T"
Ac 0.000 0.000 0.000
La 5.683 5.683 5.683
Fe 2.846 2.846 2.846
Fe 4.732 4.732 2.846
Fe 4.732 2.846 4.732
Fe 2.846 4.732 4.732